No. 1
Entry from the Alexandria database: an optimized crystal structure of Pm2NdTm7 (PBE-GGA).

extended XYZ file:
```
10
Lattice="7.119 3.272 0.962 3.816 7.944 -3.169 1.557 -0.026 7.741" Properties=species:S:1:pos:R:3 pbc="T T T"
Pm 7.199 6.730 1.761
Pm 5.293 4.460 3.773
Nd 0.000 0.000 0.000
Tm 10.766 10.069 2.651
Tm 1.726 1.122 2.883
Tm 8.904 7.833 4.654
Tm 3.588 3.357 0.881
Tm 9.049 8.957 -0.210
Tm 3.443 2.233 5.745
Tm 5.468 5.608 -1.103
```

Output
formation energy	22.0	kJ/mol of formula units
offset from the most stable computed form	0	meV/atom

No. 2
Entry from the Alexandria database: an optimized crystal structure of La2H6IrRh (PBE-GGA).

extended XYZ file:
```
10
Lattice="-4.225 -0.585 3.267 2.981 -3.177 3.144 0.505 1.157 5.209" Properties=species:S:1:pos:R:3 pbc="T T T"
La -2.171 -0.654 5.840
La 1.431 -1.950 5.779
H -0.038 -0.305 4.244
H -0.438 -1.692 10.064
H 1.768 -1.402 8.382
H -2.507 -1.203 3.237
H -0.302 -0.912 1.555
H -0.702 -2.300 7.375
Ir 0.000 0.000 0.000
Rh -0.622 -1.881 3.205
```

Output
E	-5.168	eV/atom

No. 3
Entry from the Alexandria database: an optimized crystal structure of AcPaSe2 (PBE-GGA).

extended XYZ file:
```
4
Lattice="-3.529 3.865 -0.083 -1.954 1.857 4.488 1.324 4.789 1.649" Properties=species:S:1:pos:R:3 pbc="T T T"
Ac 0.000 0.000 0.000
Pa -2.080 5.255 3.027
Se -1.040 2.628 1.513
Se -3.119 7.883 4.540
```

Output
formation energy (no corrections)	-1.14	eV/atom
offset from the most stable computed form	99	meV/atom

No. 4
Entry from the Alexandria database: an optimized crystal structure of Mn2BeFeGe (PBE-GGA).

extended XYZ file:
```
5
Lattice="4.342 0.000 0.000 0.000 4.095 0.000 0.000 0.000 4.342" Properties=species:S:1:pos:R:3 pbc="T T T"
Be 0.000 2.047 0.000
Ge 2.171 2.047 2.171
Mn 0.000 0.000 2.171
Mn 2.171 0.000 0.000
Fe 0.000 0.000 0.000
```

Output
formation energy	396.8	kJ/mol of formula units

No. 5
Entry from the Alexandria database: an optimized crystal structure of HfMgSc2Rh4 (PBE-GGA).

extended XYZ file:
```
8
Lattice="4.553 0.000 0.000 2.276 3.943 0.000 2.276 1.314 7.383" Properties=species:S:1:pos:R:3 pbc="T T T"
Hf 0.000 0.000 0.000
Mg 4.553 2.628 3.691
Sc 6.829 3.943 5.433
Sc 2.276 1.314 1.950
Rh 4.553 2.628 6.508
Rh 6.829 3.943 2.707
Rh 2.276 1.314 4.676
Rh 4.553 2.628 0.875
```

Output
formation energy	-733.9	kJ/mol of formula units

No. 6
Entry from the Alexandria database: an optimized crystal structure of TmTh2Pd4 (PBE-GGA).

extended XYZ file:
```
7
Lattice="-3.773 -3.691 -0.111 1.748 -4.932 0.706 0.281 5.468 6.405" Properties=species:S:1:pos:R:3 pbc="T T T"
Tm 0.000 0.000 0.000
Th -1.147 -3.552 2.355
Th -0.598 0.397 4.645
Pd -1.811 -4.933 4.752
Pd 0.067 1.778 2.247
Pd 0.874 -2.466 0.353
Pd -1.887 -1.846 -0.056
```

Output
formation energy	-364.4	kJ/mol of formula units

No. 7
Entry from the Alexandria database: an optimized crystal structure of Ta3BiI (PBE-GGA).

extended XYZ file:
```
5
Lattice="5.048 0.000 0.000 0.000 5.048 0.000 0.000 0.000 5.048" Properties=species:S:1:pos:R:3 pbc="T T T"
I 0.000 0.000 0.000
Bi 2.524 2.524 2.524
Ta 0.000 2.524 0.000
Ta 0.000 0.000 2.524
Ta 2.524 0.000 0.000
```

Output
formation energy (no corrections)	1.95	eV/atom
offset from the most stable computed form	0	meV/atom

No. 8
Entry from the Alexandria database: an optimized crystal structure of Ba2LiCeS5 (PBE-GGA).

extended XYZ file:
```
18
Lattice="4.342 0.000 0.000 -2.171 8.660 0.000 0.000 0.000 12.780" Properties=species:S:1:pos:R:3 pbc="T T T"
Ba 2.171 6.773 10.357
Ba 0.000 2.154 8.540
Ba 0.000 1.887 3.966
Ba 2.171 6.506 2.150
Li 2.171 0.348 12.568
Li 0.000 8.312 6.178
Ce 2.171 5.450 6.525
Ce 0.000 3.210 0.135
S 0.000 5.928 12.582
S 2.171 2.720 11.112
S 2.171 0.485 10.101
S 0.000 5.282 8.317
S 2.171 8.039 7.111
S 2.171 2.732 6.191
S 0.000 5.940 4.722
S 0.000 8.174 3.711
S 2.171 3.378 1.927
S 0.000 0.621 0.721
```

Output
formation energy (no corrections)	-1.66	eV/atom

No. 9
Entry from the Alexandria database: an optimized crystal structure of GaGeNF2 (PBE-GGA).

extended XYZ file:
```
5
Lattice="-2.778 2.869 -0.135 -2.307 -2.342 -2.271 -1.658 -1.456 3.186" Properties=species:S:1:pos:R:3 pbc="T T T"
Ge -3.372 -0.465 0.390
N -0.829 -0.728 1.593
Ga 0.000 0.000 0.000
F -1.154 -1.171 -1.136
F -1.389 1.434 -0.068
```

Output
formation energy (no corrections)	-0.80	eV/atom
offset from the most stable computed form	0	meV/atom

No. 10
Entry from the Alexandria database: an optimized crystal structure of Li3GaCu (PBE-GGA).

extended XYZ file:
```
10
Lattice="4.300 0.000 0.000 0.000 5.007 1.097 0.000 0.097 6.758" Properties=species:S:1:pos:R:3 pbc="T T T"
Li 2.682 4.099 4.726
Li 2.681 4.988 2.171
Li 0.537 2.518 5.114
Li 0.532 1.464 0.853
Li 0.531 0.575 3.407
Li 2.687 3.142 7.222
Ga 2.682 2.063 3.042
Ga 0.532 3.500 2.537
Cu 2.692 0.969 5.340
Cu 0.542 4.691 6.996
```

Output
formation energy	-88.9	kJ/mol of formula units
offset from the most stable computed form	0	meV/atom

No. 11
Entry from the Alexandria database: an optimized crystal structure of InTe (PBE-GGA).

extended XYZ file:
```
2
Lattice="-1.947 -3.285 1.251 3.280 -2.410 -1.222 -0.126 1.576 3.944" Properties=species:S:1:pos:R:3 pbc="T T T"
Te 0.231 -1.838 2.296
In 0.070 1.138 3.391
```

Output
formation energy (no corrections)	-0.22	eV/atom

No. 12
Entry from the Alexandria database: an optimized crystal structure of BaYInS4 (PBE-GGA).

extended XYZ file:
```
14
Lattice="-2.102 -4.338 -4.906 5.866 -3.689 0.748 -2.854 -3.035 7.423" Properties=species:S:1:pos:R:3 pbc="T T T"
Ba 0.103 -8.928 3.872
Ba 0.807 -2.133 -0.608
Y 1.449 -7.573 0.002
Y -0.539 -3.488 3.263
In 2.919 -4.870 1.802
In -2.009 -6.191 1.462
S 0.924 -4.085 5.633
S -2.847 -5.194 -2.730
S -0.015 -6.976 -2.369
S 3.757 -5.866 5.994
S 3.000 -5.228 -0.597
S -2.090 -5.833 3.861
S 1.635 -6.752 2.585
S -0.726 -4.309 0.680
```

Output
formation energy (no corrections)	-1.48	eV/atom